[1]
Computed, not measured: an optimized crystal structure of LuNbN2O at the PBE level of DFT.

Unit cell a=3.573 b=6.197 c=5.726 alpha=90.00 beta=90.00 gamma=90.00
Positions (direct):
Lu1 0.000 0.153 0.000
Lu2 0.000 0.847 0.500
Nb1 0.500 0.322 0.543
Nb2 0.500 0.678 0.043
N1 0.000 0.198 0.607
N2 0.000 0.802 0.107
N3 0.500 0.397 0.903
N4 0.500 0.603 0.403
O1 0.500 0.109 0.263
O2 0.500 0.891 0.763

- Calculated total energy: -9.0304 eV per atom
- Calculated density: 8.17 g cm⁻³



[2]
Computed, not measured: an optimized crystal structure of LuNbN2O at the PBE level of DFT.

Unit cell a=5.675 b=7.829 c=5.393 alpha=90.00 beta=90.00 gamma=90.00
Positions (direct):
Lu1 0.066 0.250 0.027
Lu2 0.434 0.750 0.527
Lu3 0.566 0.250 0.473
Lu4 0.934 0.750 0.973
Nb1 0.000 0.000 0.500
Nb2 0.000 0.500 0.500
Nb3 0.500 0.000 0.000
Nb4 0.500 0.500 0.000
N1 0.202 0.569 0.801
N2 0.202 0.931 0.801
N3 0.298 0.069 0.301
N4 0.298 0.431 0.301
N5 0.702 0.569 0.699
N6 0.702 0.931 0.699
N7 0.798 0.069 0.199
N8 0.798 0.431 0.199
O1 0.050 0.750 0.365
O2 0.450 0.250 0.865
O3 0.550 0.750 0.135
O4 0.950 0.250 0.635

- Calculated total energy: -9.0178 eV per atom
- Calculated density: 8.65 g cm⁻³